This record from Alexandria describes a relaxed structure of RbCaMn2I8. The functional is PBE.

Output
Formation energy (no corrections) (kcal/mol of atoms): -19.1
Total magnetization (μB per atom): 0.7500

abc: 7.5416 7.5416 10.7415
angles: 90.00 90.00 120.00
Closest atoms and distances in Å follow each position.
Positions (direct):
Mn 0.3333 0.6667 0.7491  4 I 2.61-2.66
Mn 0.6667 0.3333 0.2509  4 I 2.61-2.66
Ca 0.0000 0.0000 0.5000  6 I 3.15
I 0.6649 0.9943 0.3222  1 Mn 2.66
I 0.3333 0.6667 0.9920  1 Mn 2.61
I 0.3294 0.3351 0.3222  1 Mn 2.66
I 0.6667 0.3333 0.0080  1 Mn 2.61
I 0.0057 0.6706 0.3222  1 Mn 2.66
I 0.6706 0.6649 0.6778  1 Mn 2.66
I 0.3351 0.0057 0.6778  1 Mn 2.66
I 0.9943 0.3294 0.6778  1 Mn 2.66
Rb 0.0000 0.0000 0.0000  12 I 4.27-4.35

=====

This record from Alexandria describes a relaxed structure of CaMn2RuI. The functional is PBE.

Output
Formation energy (no corrections) (kcal/mol of atoms): 40.0
Total magnetization (μB per atom): 1.9463

abc: 5.4639 4.7119 5.4639
angles: 90.00 90.00 90.00
Closest atoms and distances in Å follow each position.
Positions (direct):
Ru 0.0000 0.5000 0.0000  2 Ca 2.36
I 0.5000 0.5000 0.5000  8 Mn 3.61, 4 Ru 3.86
Mn 0.0000 0.0000 0.5000  2 Ca 2.73
Mn 0.5000 0.0000 0.0000  2 Ca 2.73
Ca 0.0000 0.0000 0.0000  2 Ru 2.36

=====

This record from Alexandria describes a relaxed structure of CaMnSb2I. The functional is PBE.

Output
Formation energy (no corrections) (kcal/mol of atoms): -3.0
Total magnetization (μB per atom): 0.7392
Relative energy among the computed polymorphs (meV per atom): 0

abc: 5.0465 5.0465 6.1862
angles: 90.00 90.00 90.00
Closest atoms and distances in Å follow each position.
Positions (direct):
Sb 0.5000 0.0000 0.0000  2 Mn 2.52
Sb 0.0000 0.5000 0.0000  2 Mn 2.52
I 0.0000 0.0000 0.5000  2 Mn 3.09
Ca 0.5000 0.5000 0.5000  4 I 3.57, 8 Sb 3.99
Mn 0.0000 0.0000 0.0000  4 Sb 2.52

=====

This record from Alexandria describes a relaxed structure of CaMnSb2I. The functional is PBE.

Output
Formation energy (no corrections) (kcal/mol of atoms): 14.6
Total magnetization (μB per atom): 0.7903
Relative energy among the computed polymorphs (meV per atom): 762

abc: 5.8855 5.8855 5.8327
angles: 90.00 90.00 90.00
Closest atoms and distances in Å follow each position.
Positions (direct):
Sb 0.0000 0.5000 0.0000  2 Ca 2.94
Sb 0.5000 0.0000 0.0000  2 Ca 2.94
Ca 0.0000 0.0000 0.0000  2 I 2.92, 4 Sb 2.94
I 0.0000 0.0000 0.5000  2 Ca 2.92
Mn 0.5000 0.5000 0.5000  8 Sb 4.14, 4 I 4.16

=====

This record from Alexandria describes a relaxed structure of CaTa2MnI. The functional is PBE.

Output
Formation energy (no corrections) (kcal/mol of atoms): 16.4
Total magnetization (μB per atom): 0.0000

abc: 4.5773 5.9089 4.5773
angles: 90.00 90.00 90.00
Closest atoms and distances in Å follow each position.
Positions (direct):
Ta 0.0000 0.0000 0.5000  2 Mn 2.29
Ta 0.5000 0.0000 0.0000  2 Mn 2.29
Ca 0.0000 0.5000 0.0000  2 Mn 2.95, 4 I 3.24
I 0.5000 0.5000 0.5000  4 Ca 3.24
Mn 0.0000 0.0000 0.0000  4 Ta 2.29

=====

This record from Alexandria describes a relaxed structure of CaMnTc2I. The functional is PBE.

Output
Formation energy (no corrections) (kcal/mol of atoms): 20.8
Total magnetization (μB per atom): 0.5254

abc: 4.4891 5.5132 4.4891
angles: 90.00 90.00 90.00
Closest atoms and distances in Å follow each position.
Positions (direct):
Ca 0.5000 0.5000 0.5000  4 I 3.17, 8 Tc 3.55
Mn 0.0000 0.0000 0.0000  4 Tc 2.24
Tc 0.5000 0.0000 0.0000  2 Mn 2.24
Tc 0.0000 0.0000 0.5000  2 Mn 2.24
I 0.0000 0.5000 0.0000  2 Mn 2.76